# 1
! BaMg3Re4 | the Open Quantum Materials Database | PBE | optimized geometry; values from VASP
&SYSTEM
  ibrav = 0, nat = 8, ntyp = 3
/
ATOMIC_SPECIES
Re 186.21 Re.upf
Mg 24.30 Mg.upf
Ba 137.33 Ba.upf
CELL_PARAMETERS angstrom
7.743 -3.521 0.000
7.743 3.521 0.000
-0.017 0.000 2.853
ATOMIC_POSITIONS angstrom
Re 10.120 -1.151 2.833
Re 5.348 -1.151 0.020
Re 5.348 1.151 0.020
Re 10.120 1.151 2.833
Mg 12.277 0.000 1.432
Mg 7.734 0.000 1.427
Mg 3.191 0.000 1.421
Ba 0.000 0.000 0.000
! M_tot	0.00	μB per atom
! space group	C2/m, No. 12
! total DFT energy (no corrections)	-6.398	eV/atom


# 2
! CsNaNi | the Open Quantum Materials Database | PBE | optimized geometry; values from VASP
&SYSTEM
  ibrav = 0, nat = 3, ntyp = 3
/
ATOMIC_SPECIES
Na 22.99 Na.upf
Ni 58.69 Ni.upf
Cs 132.91 Cs.upf
CELL_PARAMETERS angstrom
0.000 3.816 3.816
3.816 0.000 3.816
3.816 3.816 0.000
ATOMIC_POSITIONS angstrom
Na 0.000 0.000 0.000
Ni 5.724 5.724 5.724
Cs 1.908 1.908 1.908
! polymorph energy (0 for the lowest one)	133	meV per atom
! M_tot	0.01	μB per atom
! space group	F-43m, No. 216


# 3
! FeCoSiNi | the Open Quantum Materials Database | PBE | optimized geometry; values from VASP
&SYSTEM
  ibrav = 0, nat = 4, ntyp = 4
/
ATOMIC_SPECIES
Ni 58.69 Ni.upf
Co 58.93 Co.upf
Fe 55.84 Fe.upf
Si 28.09 Si.upf
CELL_PARAMETERS angstrom
2.780 -0.754 2.722
1.356 2.922 2.309
-0.928 0.074 3.853
ATOMIC_POSITIONS angstrom
Ni 0.000 0.000 0.000
Co 1.604 1.121 4.442
Fe 2.406 1.682 6.663
Si 0.802 0.561 2.221
! polymorph energy (0 for the lowest one)	0	meV per atom
! M_tot	0.93	μB per atom
! space group	F-43m, No. 216


# 4
! BeAsPtO | the Open Quantum Materials Database | PBE | optimized geometry; values from VASP
&SYSTEM
  ibrav = 0, nat = 8, ntyp = 4
/
ATOMIC_SPECIES
O 16.00 O.upf
Be 9.01 Be.upf
As 74.92 As.upf
Pt 195.08 Pt.upf
CELL_PARAMETERS angstrom
4.418 0.000 0.000
0.000 5.246 0.000
0.000 0.000 4.927
ATOMIC_POSITIONS angstrom
O 2.209 1.991 1.828
O 2.209 3.255 4.291
Be 2.209 1.952 0.251
Be 2.209 3.294 2.715
As 0.000 0.906 4.506
As 0.000 4.340 2.042
Pt 0.000 1.729 2.057
Pt 0.000 3.517 4.521
! polymorph energy (0 for the lowest one)	240	meV per atom
! M_tot	0.00	μB per atom
! space group	Pmc2_1, No. 26


# 5
! Ga2Os2O5 | the Open Quantum Materials Database | PBE | optimized geometry; values from VASP
&SYSTEM
  ibrav = 0, nat = 9, ntyp = 3
/
ATOMIC_SPECIES
O 16.00 O.upf
Os 190.23 Os.upf
Ga 69.72 Ga.upf
CELL_PARAMETERS angstrom
8.394 0.000 0.000
0.000 3.799 0.000
0.000 0.000 3.799
ATOMIC_POSITIONS angstrom
O 6.389 0.000 1.900
O 4.197 1.900 1.900
O 2.005 1.900 0.000
O 6.389 1.900 0.000
O 2.005 0.000 1.900
Os 2.052 1.900 1.900
Os 6.342 1.900 1.900
Ga 4.197 0.000 0.000
Ga 0.000 0.000 0.000
! polymorph energy (0 for the lowest one)	0	meV per atom
! M_tot	0.00	μB per atom
! space group	P4/mmm, No. 123


# 6
! Y2GaCuI2 | the Open Quantum Materials Database | PBE | optimized geometry; values from VASP
&SYSTEM
  ibrav = 0, nat = 6, ntyp = 4
/
ATOMIC_SPECIES
Cu 63.55 Cu.upf
Y 88.91 Y.upf
I 126.90 I.upf
Ga 69.72 Ga.upf
CELL_PARAMETERS angstrom
4.203 0.000 0.000
-2.102 3.640 0.000
0.000 0.000 12.023
ATOMIC_POSITIONS angstrom
Cu 0.000 0.000 5.927
Y 0.000 2.427 7.900
Y 0.000 2.427 4.141
I 0.000 0.000 9.930
I 2.102 1.213 2.081
Ga 2.102 1.213 6.090
! M_tot	0.05	μB per atom
! space group	P3m1, No. 156
! total DFT energy (no corrections)	-4.732	eV/atom


# 7
! CsDyScSe3 | the Open Quantum Materials Database | PBE | optimized geometry; values from VASP
&SYSTEM
  ibrav = 0, nat = 12, ntyp = 4
/
ATOMIC_SPECIES
Cs 132.91 Cs.upf
Se 78.96 Se.upf
Sc 44.96 Sc.upf
Dy 162.50 Dy.upf
CELL_PARAMETERS angstrom
3.697 6.070 4.369
-3.896 -7.373 -0.267
9.778 -5.125 -1.154
ATOMIC_POSITIONS angstrom
Cs 0.545 -5.119 0.664
Cs 9.034 -1.309 2.285
Se 1.311 0.692 2.546
Se 5.194 -1.344 2.088
Se 5.734 4.067 3.831
Se 8.268 -7.119 0.403
Se 3.846 -10.494 -0.883
Se 4.385 -5.084 0.861
Sc 2.634 -1.421 1.939
Sc 6.945 -5.006 1.009
Dy 0.000 0.000 0.000
Dy 4.889 -2.563 -0.577
! M_tot	0.00	μB per atom
! space group	Cmcm, No. 63
! total DFT energy (no corrections)	-5.308	eV/atom


# 8
! Tb2HoCu4Si4 | the Open Quantum Materials Database | PBE | optimized geometry; values from VASP
&SYSTEM
  ibrav = 0, nat = 11, ntyp = 4
/
ATOMIC_SPECIES
Cu 63.55 Cu.upf
Si 28.09 Si.upf
Tb 158.93 Tb.upf
Ho 164.93 Ho.upf
CELL_PARAMETERS angstrom
7.019 -0.485 3.515
2.226 5.277 5.390
-5.002 -5.603 -2.333
ATOMIC_POSITIONS angstrom
Cu 0.558 -0.513 3.257
Cu 6.808 1.321 6.322
Cu -2.565 -2.132 0.250
Cu 3.686 -0.298 3.315
Si 4.998 1.264 4.672
Si 7.250 3.758 6.983
Si 1.996 1.034 1.922
Si -0.754 -2.076 1.900
Tb 2.036 1.612 4.826
Tb 2.208 -2.423 1.746
Ho 0.000 0.000 0.000
! M_tot	0.00	μB per atom
! space group	Immm, No. 71
! total DFT energy (no corrections)	-5.216	eV/atom